Density functional theory data (PBE+U) for an optimized crystal structure of OsW3O.

- Uncorrected energy: -34.6 eV for the cell shown
- Space-group type: No. 221

a = 4.163 Å, b = 4.163 Å, c = 4.163 Å
α = 90.00°, β = 90.00°, γ = 90.00°
Element x y z (fractional)
1 Os 0.500 0.500 0.500
2 O 0.000 0.000 0.000
3 W 0.000 0.500 0.000
4 W 0.000 0.000 0.500
5 W 0.500 0.000 0.000